The following is a DFT calculation (PBE) of a relaxed structure of Th2Co4Ge3Sb.

a b c (Å): 4.2311 4.2311 9.6881
angles (deg): 90.00 90.00 90.00
Last column: nearest neighbours and their distance in Å.
Positions (direct):
Th 0.0000 0.5000 0.2342  8 Co 3.10-3.26, 7 Ge 3.18-3.47, 2 Sb 3.33
Th 0.5000 0.0000 0.7658  8 Co 3.10-3.26, 7 Ge 3.18-3.47, 2 Sb 3.33
Co 0.0000 0.0000 0.0000  4 Ge 2.43
Co 0.0000 0.5000 0.6329  3 Ge 2.36-2.48, 2 Sb 2.48
Co 0.5000 0.0000 0.3671  3 Ge 2.36-2.48, 2 Sb 2.48
Co 0.5000 0.5000 0.0000  4 Ge 2.43
Ge 0.0000 0.5000 0.8760  5 Co 2.36-2.43
Ge 0.5000 0.0000 0.1240  5 Co 2.36-2.43
Ge 0.5000 0.5000 0.5000  4 Co 2.48
Sb 0.0000 0.0000 0.5000  4 Co 2.48

Results
Raw formation energy, meV per atom: -563
Calculated total energy, eV per atom: -6.69
M_tot, Bohr magnetons per cell: 1.04
V, Å³/cell: 173